# Er5BiPt2

A relaxed structure of Er5BiPt2 (GGA-PBEsol, Alexandria).

a b c (Å): 7.6469 8.6107 7.6469
angles (deg): 116.36 90.00 116.36
Atoms (fractional coordinates):
Pt 0.1382 0.0000 0.3618
Pt 0.8618 0.0000 0.6382
Pt 0.6382 0.0000 0.1382
Pt 0.3618 0.0000 0.8618
Er 0.2074 0.7272 0.0198
Er 0.7074 0.7272 0.2074
Er 0.5198 0.7272 0.7074
Er 0.5000 0.0000 0.5000
Er 0.2926 0.2728 0.7926
Er 0.0198 0.7272 0.5198
Er 0.7926 0.2728 0.9802
Er 0.9802 0.2728 0.4802
Er 0.4802 0.2728 0.2926
Er 0.0000 0.0000 0.0000
Bi 0.2500 0.5000 0.2500
Bi 0.7500 0.5000 0.7500

Values from the calculation:
**ΔE_f**: -0.94 eV/atom
**VASP energy**: -100.70 eV/cell
**Total moment**: 0.0000 μB per atom